Record 1
Below is crystalline Sm3Dy7Ho2 at its relaxed geometry, with properties calculated at the PBE-GGA level.

```
Sm3Dy7Ho2
1.0
6.330 0.000 0.000
0.000 3.522 0.000
-1.882 0.000 17.363
Sm Dy Ho
3 7 2
Direct
0.000 0.000 0.000
0.049 0.500 0.659
0.951 0.500 0.341
0.228 0.500 0.166
0.246 0.000 0.501
0.277 0.000 0.833
0.500 0.500 0.000
0.723 0.000 0.167
0.754 0.000 0.499
0.772 0.500 0.834
0.443 0.000 0.327
0.557 0.000 0.673
```

**Crystal system**: monoclinic
**Distance to the lowest polymorph of the same formula**: 0 meV per atom
**DFT total energy**: -4.55 eV/atom
**Formation enthalpy at 0 K**: 0.08 eV/atom

=====

Record 2
Below is crystalline Sm9DyHo2 at its relaxed geometry, with properties calculated at the PBE-GGA level.

```
Sm9DyHo2
1.0
5.094 0.000 0.000
0.000 5.094 0.000
0.000 0.000 15.281
Sm Dy Ho
9 1 2
Direct
0.000 0.000 0.000
0.000 0.000 0.334
0.000 0.000 0.666
0.000 0.500 0.167
0.000 0.500 0.500
0.000 0.500 0.833
0.500 0.000 0.167
0.500 0.000 0.500
0.500 0.000 0.833
0.500 0.500 0.000
0.500 0.500 0.333
0.500 0.500 0.667
```

**Crystal system**: tetragonal
**DFT total energy**: -4.67 eV/atom
**Formation enthalpy at 0 K**: 0.02 eV/atom

=====

Record 3
Below is crystalline SmDy2Ho at its relaxed geometry, with properties calculated at the PBE-GGA level.

```
SmDy2Ho
1.0
0.000 4.012 4.012
4.012 0.000 4.012
4.012 4.012 0.000
Sm Dy Ho
1 2 1
Direct
0.000 0.000 0.000
0.250 0.250 0.250
0.750 0.750 0.750
0.500 0.500 0.500
```

**Crystal system**: cubic
**Distance to the lowest polymorph of the same formula**: 131 meV per atom
**DFT total energy**: -4.48 eV/atom
**Formation enthalpy at 0 K**: 0.14 eV/atom

=====

> Which of these has the lowest formation enthalpy at 0 K?

Sm9DyHo2

=====

> What is the formation enthalpy at 0 K in the first record?

0.08 eV/atom